! PmSmNi4 | the Alexandria database | PBE | optimized geometry; values from VASP
&SYSTEM
  ibrav = 0, nat = 6, ntyp = 3
/
ATOMIC_SPECIES
Sm 150.36 Sm.upf
Ni 58.69 Ni.upf
Pm 145.00 Pm.upf
ATOMIC_POSITIONS crystal
Sm 0.250 0.250 0.250
Ni 0.625 0.625 0.625
Ni 0.625 0.625 0.125
Ni 0.625 0.125 0.625
Ni 0.125 0.625 0.625
Pm 0.000 0.000 0.000
CELL_PARAMETERS angstrom
-3.800 2.974 -1.773
-3.406 -1.904 -3.348
-4.847 -0.868 1.477
! - spin magnetization (μB per formula unit) = 0.0
! - total DFT energy (no corrections) (eV/atom) = -5.785

---

! TiNiP2S | the Alexandria database | PBE | optimized geometry; values from VASP
&SYSTEM
  ibrav = 0, nat = 5, ntyp = 4
/
ATOMIC_SPECIES
P 30.97 P.upf
Ti 47.87 Ti.upf
Ni 58.69 Ni.upf
S 32.06 S.upf
ATOMIC_POSITIONS crystal
P 0.500 0.000 0.000
Ti 0.500 0.500 0.500
Ni 0.000 0.000 0.000
S 0.000 0.000 0.500
P 0.000 0.500 0.000
CELL_PARAMETERS angstrom
-3.667 -0.244 -2.209
-2.114 -0.932 3.612
-0.732 4.465 0.723
! - spin magnetization (μB per formula unit) = 0.0
! - total DFT energy (no corrections) (eV/atom) = -5.409

---

! Zn2FeTe | the Alexandria database | PBE | optimized geometry; values from VASP
&SYSTEM
  ibrav = 0, nat = 4, ntyp = 3
/
ATOMIC_SPECIES
Fe 55.84 Fe.upf
Te 127.60 Te.upf
Zn 65.41 Zn.upf
ATOMIC_POSITIONS crystal
Fe 0.500 0.000 0.500
Te 0.000 0.500 0.500
Zn 0.000 0.000 0.000
Zn 0.500 0.500 0.000
CELL_PARAMETERS angstrom
-3.539 1.463 -2.474
-0.543 -4.339 1.288
-1.706 1.137 3.112
! - spin magnetization (μB per formula unit) = 2.6
! - total DFT energy (no corrections) (eV/atom) = -3.217